1.
Entry from the Alexandria database: a relaxed structure of TlV2Pd9 (PBE).

## Properties
D(E_F)   10.15 states/eV/cell
Space-group type   P4/mmm (123)
Crystal system   tetragonal
Formation enthalpy at 0 K   -0.234 eV per atom

Structure (POSCAR):
```
TlV2Pd9
1.0
3.948 0.000 0.000
0.000 3.948 0.000
0.000 0.000 11.949
Tl V Pd
1 2 9
Cartesian
0.000 0.000 0.000
0.000 0.000 3.996
0.000 0.000 7.953
0.000 1.974 2.181
0.000 1.974 5.974
0.000 1.974 9.768
1.974 0.000 2.181
1.974 0.000 5.974
1.974 0.000 9.768
1.974 1.974 0.000
1.974 1.974 4.069
1.974 1.974 7.880
```



2.
Entry from the Alexandria database: a relaxed structure of TlPdW2 (PBE).

## Properties
D(E_F)   1.88 states/eV/cell
E above lowest polymorph   53 meV/atom
Space-group type   Fm-3m (225)
Crystal system   cubic
Formation enthalpy at 0 K   0.953 eV per atom

Structure (POSCAR):
```
TlPdW2
1.0
0.000 3.256 3.256
3.256 0.000 3.256
3.256 3.256 0.000
Tl Pd W
1 1 2
Cartesian
0.000 0.000 0.000
3.256 3.256 3.256
1.628 1.628 1.628
4.884 4.884 4.884
```



3.
Entry from the Alexandria database: a relaxed structure of Tl2PdW (PBE).

## Properties
D(E_F)   9.48 states/eV/cell
E above lowest polymorph   181 meV/atom
Space-group type   I-42d (122)
Crystal system   tetragonal
Formation enthalpy at 0 K   1.005 eV per atom

Structure (POSCAR):
```
Tl2PdW
1.0
-2.100 2.100 9.803
2.100 -2.100 9.803
2.100 2.100 -9.803
Tl Pd W
4 2 2
Cartesian
3.149 1.035 -2.451
1.035 1.050 2.451
-1.050 1.064 7.352
1.064 1.050 12.254
2.100 0.000 4.901
0.000 0.000 9.803
0.000 0.000 0.000
0.000 2.100 4.901
```